! GGA-PBE LiMgCdSi2, relaxed; values from VASP
! **Raw total energy**: -2.5172 eV/atom
! **Crystal system**: tetragonal
&SYSTEM
  ibrav = 0, nat = 5, ntyp = 4
/
ATOMIC_SPECIES
Si 28.09 Si.upf
Cd 112.41 Cd.upf
Mg 24.30 Mg.upf
Li 6.94 Li.upf
CELL_PARAMETERS angstrom
-0.506 -0.169 -4.501
3.881 -2.687 -0.335
-2.544 -3.727 0.426
ATOMIC_POSITIONS crystal
Si 0.500 0.000 0.000
Si 0.000 0.000 0.500
Cd 0.500 0.500 0.500
Mg 0.000 0.500 0.000
Li 0.000 0.000 0.000